The following is a DFT calculation (GGA-PBE) of a relaxed structure of PmGa6Cu6.

Values from the calculation:
crystal system: orthorhombic
energy of formation from the pure elements: -0.2948 eV/atom
size of the total moment: 0.00 μB/cell

The structure in POSCAR format:
```
PmGa6Cu6
1.0
-2.5878 4.3077 4.3841
2.5878 -4.3077 4.3841
2.5878 4.3077 -4.3841
Pm Ga Cu
1 6 6
Direct
0.0000 0.0000 0.0000
0.1985 0.6985 0.5000
0.3474 0.0000 0.3474
0.3495 0.3495 0.0000
0.6505 0.6505 0.0000
0.6526 0.0000 0.6526
0.8015 0.3015 0.5000
0.0000 0.0000 0.5000
0.0000 0.5000 0.0000
0.2329 0.5000 0.7329
0.5000 0.0000 0.0000
0.5000 0.5000 0.5000
0.7671 0.5000 0.2671
```



The following is a DFT calculation (GGA-PBE) of a relaxed structure of PmGa2Cu9.

Values from the calculation:
crystal system: trigonal
excess energy over the best structure of this formula in the dataset: 51 meV per atom
energy of formation from the pure elements: -0.1135 eV/atom
size of the total moment: 0.00 μB/cell

The structure in POSCAR format:
```
PmGa2Cu9
1.0
2.4997 1.4432 7.9981
-2.4997 1.4432 7.9981
0.0000 -2.8864 7.9981
Pm Ga Cu
1 2 9
Direct
0.0000 0.0000 0.0000
0.1424 0.1424 0.1424
0.8576 0.8576 0.8576
0.0806 0.5896 0.5896
0.3340 0.3340 0.3340
0.4104 0.4104 0.9194
0.4104 0.9194 0.4104
0.5000 0.5000 0.5000
0.5896 0.0806 0.5896
0.5896 0.5896 0.0806
0.6660 0.6660 0.6660
0.9194 0.4104 0.4104
```



The following is a DFT calculation (GGA-PBE) of a relaxed structure of PmGa8Cu4.

Values from the calculation:
crystal system: tetragonal
energy of formation from the pure elements: -0.2315 eV/atom
size of the total moment: 0.00 μB/cell

The structure in POSCAR format:
```
PmGa8Cu4
1.0
-4.4378 4.4378 2.6572
4.4378 -4.4378 2.6572
4.4378 4.4378 -2.6572
Pm Ga Cu
1 8 4
Direct
0.0000 0.0000 0.0000
0.0000 0.3478 0.3478
0.0000 0.6522 0.6522
0.2836 0.5000 0.7836
0.3478 0.0000 0.3478
0.5000 0.2836 0.7836
0.5000 0.7164 0.2164
0.6522 0.0000 0.6522
0.7164 0.5000 0.2164
0.0000 0.0000 0.5000
0.0000 0.5000 0.0000
0.5000 0.0000 0.0000
0.5000 0.5000 0.5000
```



The following is a DFT calculation (GGA-PBE) of a relaxed structure of Pm2PrGa2Cu2.

Values from the calculation:
crystal system: trigonal
energy of formation from the pure elements: -0.3717 eV/atom
size of the total moment: 0.00 μB/cell

The structure in POSCAR format:
```
Pm2PrGa2Cu2
1.0
2.2332 1.2894 9.4264
-2.2332 1.2894 9.4264
0.0000 -2.5787 9.4264
Pm Pr Ga Cu
2 1 2 2
Direct
0.1247 0.1247 0.1247
0.8753 0.8753 0.8753
0.0000 0.0000 0.0000
0.2625 0.2625 0.2625
0.7375 0.7375 0.7375
0.4005 0.4005 0.4005
0.5995 0.5995 0.5995
```



What is the formula in the second record? PmGa2Cu9



Number 3 is which compound? PmGa8Cu4